Record 1
Computed, not measured: a geometry-optimized USnMo2 structure at the PBE-GGA level of DFT.

Structure (POSCAR):
```
USnMo2
1.0
4.576 0.000 0.000
0.000 4.576 0.000
0.000 0.000 3.563
U Sn Mo
1 1 2
Cartesian
0.000 0.000 0.000 U
2.288 2.288 0.000 Sn
0.000 2.288 1.781 Mo
2.288 0.000 1.781 Mo
```

## Properties
M_tot: 0.0 Bohr magnetons per cell
calculated density: 12.2 g/cm³
symmetry: P4/mmm (123)
uncorrected energy: -36.70 eV for the cell shown

Record 2
Computed, not measured: a geometry-optimized USnMo structure at the PBE-GGA level of DFT.

Structure (POSCAR):
```
USnMo
1.0
2.182 1.260 8.723
-2.182 1.260 8.723
0.000 -2.520 8.723
U Sn Mo
2 2 2
Cartesian
0.000 0.000 5.540 U
0.000 0.000 20.628 U
0.000 0.000 9.729 Sn
0.000 0.000 16.439 Sn
0.000 0.000 2.618 Mo
0.000 0.000 23.550 Mo
```

## Properties
M_tot: 1.5 Bohr magnetons per cell
calculated density: 10.4 g/cm³
symmetry: R-3m (166)
uncorrected energy: -49.05 eV for the cell shown

Number 1 is which compound? USnMo2

Number 1 is which compound? USnMo2

Repeat the second record exactly.
Computed, not measured: a geometry-optimized USnMo structure at the PBE-GGA level of DFT.

Structure (POSCAR):
```
USnMo
1.0
2.182 1.260 8.723
-2.182 1.260 8.723
0.000 -2.520 8.723
U Sn Mo
2 2 2
Cartesian
0.000 0.000 5.540 U
0.000 0.000 20.628 U
0.000 0.000 9.729 Sn
0.000 0.000 16.439 Sn
0.000 0.000 2.618 Mo
0.000 0.000 23.550 Mo
```

## Properties
M_tot: 1.5 Bohr magnetons per cell
calculated density: 10.4 g/cm³
symmetry: R-3m (166)
uncorrected energy: -49.05 eV for the cell shown

Which of these has the lowest M_tot? USnMo2